# 1
# NaNp4PaN8 (GGA-PBE, relaxed)
data_NaNp4PaN8
_chemical_formula_sum 'Na3 Np12 Pa3 N24'
_cell_length_a 6.9071
_cell_length_b 6.9071
_cell_length_c 15.7781
_cell_angle_alpha 90.00
_cell_angle_beta 90.00
_cell_angle_gamma 120.00
_space_group_name_H-M_alt 'R 3 m'
_space_group_IT_number 160
_space_group_name_Hall 'R 3 -2"'
loop_
_atom_site_label
_atom_site_fract_x
_atom_site_fract_y
_atom_site_fract_z
Na1 0.0000 0.0000 0.0000
Np1 0.0000 0.0000 0.6228
Np2 0.1676 0.3352 0.8367
Pa1 0.0000 0.0000 0.3956
N1 0.0000 0.0000 0.2494
N2 0.0000 0.0000 0.7656
N3 0.0232 0.5116 0.7634
N4 0.1717 0.3433 0.5669
# * final energy: -10.196 eV/atom
# * E_form (uncorrected): -1308 kJ/mol of formula units


# 2
# Rb2ZrReSe (GGA-PBE, relaxed)
data_Rb2ZrReSe
_chemical_formula_sum 'Rb2 Zr1 Re1 Se1'
_cell_length_a 6.952
_cell_length_b 6.952
_cell_length_c 4.600
_cell_angle_alpha 90.00
_cell_angle_beta 90.00
_cell_angle_gamma 90.00
_space_group_name_H-M_alt 'P 4/m m m'
_space_group_IT_number 123
_space_group_name_Hall '-P 4 2'
loop_
_atom_site_label
_atom_site_fract_x
_atom_site_fract_y
_atom_site_fract_z
Rb1 0.000 0.500 0.000
Zr1 0.000 0.000 0.500
Re1 0.500 0.500 0.000
Se1 0.500 0.500 0.500
# * final energy: -3.897 eV/atom
# * E_form (uncorrected): 669 kJ/mol of formula units


# 3
# SrNbSb2Te (GGA-PBE, relaxed)
data_SrNbSb2Te
_chemical_formula_sum 'Sr1 Nb1 Sb2 Te1'
_cell_length_a 5.797
_cell_length_b 5.797
_cell_length_c 5.844
_cell_angle_alpha 90.00
_cell_angle_beta 90.00
_cell_angle_gamma 90.00
_space_group_name_H-M_alt 'P 4/m m m'
_space_group_IT_number 123
_space_group_name_Hall '-P 4 2'
loop_
_atom_site_label
_atom_site_fract_x
_atom_site_fract_y
_atom_site_fract_z
Sr1 0.000 0.000 0.000
Nb1 0.500 0.500 0.500
Sb1 0.000 0.500 0.000
Te1 0.000 0.000 0.500
# * final energy: -3.183 eV/atom
# * E_form (uncorrected): 697 kJ/mol of formula units


# 4
# Na2PaHgTe4 (GGA-PBE, relaxed)
data_Na2PaHgTe4
_chemical_formula_sum 'Na2 Pa1 Hg1 Te4'
_cell_length_a 7.831
_cell_length_b 4.384
_cell_length_c 8.090
_cell_angle_alpha 90.00
_cell_angle_beta 110.20
_cell_angle_gamma 90.00
_space_group_name_H-M_alt 'P 1 2/m 1'
_space_group_IT_number 10
_space_group_name_Hall '-P 2y'
loop_
_atom_site_label
_atom_site_fract_x
_atom_site_fract_y
_atom_site_fract_z
Na1 0.000 0.000 0.000
Na2 0.000 0.500 0.500
Pa1 0.500 0.000 0.500
Hg1 0.500 0.500 0.000
Te1 0.257 0.500 0.271
Te2 0.284 0.000 0.748
# * final energy: -3.804 eV/atom
# * E_form (uncorrected): -524 kJ/mol of formula units


# 5
# ErZnCu2 (GGA-PBE, relaxed)
data_ErZnCu2
_chemical_formula_sum 'Er4 Zn4 Cu8'
_cell_length_a 6.956
_cell_length_b 4.092
_cell_length_c 9.389
_cell_angle_alpha 90.00
_cell_angle_beta 90.00
_cell_angle_gamma 90.00
_space_group_name_H-M_alt 'P n m a'
_space_group_IT_number 62
_space_group_name_Hall '-P 2ac 2n'
loop_
_atom_site_label
_atom_site_fract_x
_atom_site_fract_y
_atom_site_fract_z
Er1 0.226 0.250 0.180
Zn1 0.052 0.750 0.393
Cu1 0.070 0.250 0.878
Cu2 0.237 0.750 0.971
# * final energy: -3.790 eV/atom
# * ΔE_f: -0.283 eV/atom


# 6
# ScIn3Re (GGA-PBE, relaxed)
data_ScIn3Re
_chemical_formula_sum 'Sc1 In3 Re1'
_cell_length_a 5.163
_cell_length_b 5.163
_cell_length_c 5.163
_cell_angle_alpha 90.00
_cell_angle_beta 90.00
_cell_angle_gamma 90.00
_space_group_name_H-M_alt 'P m -3 m'
_space_group_IT_number 221
_space_group_name_Hall '-P 4 2 3'
loop_
_atom_site_label
_atom_site_fract_x
_atom_site_fract_y
_atom_site_fract_z
Sc1 0.000 0.000 0.000
In1 0.000 0.500 0.500
Re1 0.500 0.500 0.500
# * final energy: -4.841 eV/atom
# * ΔE_f: 0.558 eV/atom


# 7
# ZnTe2AsN (GGA-PBE, relaxed)
data_ZnTe2AsN
_chemical_formula_sum 'Zn1 Te2 As1 N1'
_cell_length_a 5.677
_cell_length_b 5.677
_cell_length_c 3.608
_cell_angle_alpha 90.00
_cell_angle_beta 90.00
_cell_angle_gamma 90.00
_space_group_name_H-M_alt 'P 4/m m m'
_space_group_IT_number 123
_space_group_name_Hall '-P 4 2'
loop_
_atom_site_label
_atom_site_fract_x
_atom_site_fract_y
_atom_site_fract_z
Zn1 0.000 0.000 0.000
Te1 0.000 0.500 0.500
As1 0.500 0.500 0.500
N1 0.500 0.500 0.000
# * final energy: -3.317 eV/atom
# * E_form (uncorrected): 381 kJ/mol of formula units


# 8
# LiY2O (GGA-PBE, relaxed)
data_LiY2O
_chemical_formula_sum 'Li4 Y8 O4'
_cell_length_a 6.635
_cell_length_b 6.635
_cell_length_c 8.940
_cell_angle_alpha 90.00
_cell_angle_beta 90.00
_cell_angle_gamma 90.00
_space_group_name_H-M_alt 'I -4 2 d'
_space_group_IT_number 122
_space_group_name_Hall 'I -4 2bw'
loop_
_atom_site_label
_atom_site_fract_x
_atom_site_fract_y
_atom_site_fract_z
Li1 0.000 0.000 0.000
Y1 0.143 0.250 0.625
O1 0.000 0.000 0.500
# * final energy: -6.178 eV/atom
# * E_form (uncorrected): -474 kJ/mol of formula units


# 9
# Er3LuS (GGA-PBE, relaxed)
data_Er3LuS
_chemical_formula_sum 'Er3 Lu1 S1'
_cell_length_a 5.227
_cell_length_b 5.227
_cell_length_c 5.227
_cell_angle_alpha 90.00
_cell_angle_beta 90.00
_cell_angle_gamma 90.00
_space_group_name_H-M_alt 'P m -3 m'
_space_group_IT_number 221
_space_group_name_Hall '-P 4 2 3'
loop_
_atom_site_label
_atom_site_fract_x
_atom_site_fract_y
_atom_site_fract_z
Er1 0.000 0.000 0.500
Lu1 0.500 0.500 0.500
S1 0.000 0.000 0.000
# * final energy: -5.084 eV/atom
# * E_form (uncorrected): -298 kJ/mol of formula units


# 10
# La2Al3NiPt12 (GGA-PBE, relaxed)
data_La2Al3NiPt12
_chemical_formula_sum 'La6 Al9 Ni3 Pt36'
_cell_length_a 7.9911
_cell_length_b 7.9911
_cell_length_c 19.6627
_cell_angle_alpha 90.00
_cell_angle_beta 90.00
_cell_angle_gamma 120.00
_space_group_name_H-M_alt 'R -3 m'
_space_group_IT_number 166
_space_group_name_Hall '-R 3 2"'
loop_
_atom_site_label
_atom_site_fract_x
_atom_site_fract_y
_atom_site_fract_z
La1 0.0000 0.0000 0.1305
Al1 0.0000 0.5000 0.0000
Ni1 0.0000 0.0000 0.5000
Pt1 0.0021 0.5010 0.6250
Pt2 0.0032 0.5016 0.1240
# * final energy: -5.998 eV/atom
# * ΔE_f: -0.478 eV/atom


# 11
# CaTcS2Cl (GGA-PBE, relaxed)
data_CaTcS2Cl
_chemical_formula_sum 'Ca1 Tc1 S2 Cl1'
_cell_length_a 4.672
_cell_length_b 4.672
_cell_length_c 4.943
_cell_angle_alpha 90.00
_cell_angle_beta 90.00
_cell_angle_gamma 90.00
_space_group_name_H-M_alt 'P 4/m m m'
_space_group_IT_number 123
_space_group_name_Hall '-P 4 2'
loop_
_atom_site_label
_atom_site_fract_x
_atom_site_fract_y
_atom_site_fract_z
Ca1 0.000 0.000 0.000
Tc1 0.500 0.500 0.500
S1 0.000 0.500 0.500
Cl1 0.500 0.500 0.000
# * final energy: -5.198 eV/atom
# * E_form (uncorrected): -340 kJ/mol of formula units


# 12
# Pr2TmIn (GGA-PBE, relaxed)
data_Pr2TmIn
_chemical_formula_sum 'Pr6 Tm3 In3'
_cell_length_a 3.6817
_cell_length_b 3.6817
_cell_length_c 33.3175
_cell_angle_alpha 90.00
_cell_angle_beta 90.00
_cell_angle_gamma 120.00
_space_group_name_H-M_alt 'R 3 m'
_space_group_IT_number 160
_space_group_name_Hall 'R 3 -2"'
loop_
_atom_site_label
_atom_site_fract_x
_atom_site_fract_y
_atom_site_fract_z
Pr1 0.0000 0.0000 0.0000
Pr2 0.0000 0.0000 0.1739
Tm1 0.0000 0.0000 0.4204
In1 0.0000 0.0000 0.5867
# * final energy: -4.297 eV/atom
# * ΔE_f: -0.104 eV/atom


# 13
# HfAl2Os (GGA-PBE, relaxed)
data_HfAl2Os
_chemical_formula_sum 'Hf4 Al8 Os4'
_cell_length_a 6.328
_cell_length_b 6.328
_cell_length_c 6.328
_cell_angle_alpha 90.00
_cell_angle_beta 90.00
_cell_angle_gamma 90.00
_space_group_name_H-M_alt 'F m -3 m'
_space_group_IT_number 225
_space_group_name_Hall '-F 4 2 3'
loop_
_atom_site_label
_atom_site_fract_x
_atom_site_fract_y
_atom_site_fract_z
Hf1 0.000 0.000 0.000
Al1 0.250 0.250 0.250
Os1 0.000 0.000 0.500
# * final energy: -7.460 eV/atom
# * ΔE_f: -0.293 eV/atom


# 14
# V3Mo4W4 (GGA-PBE, relaxed)
data_V3Mo4W4
_chemical_formula_sum 'V6 Mo8 W8'
_cell_length_a 28.021
_cell_length_b 4.412
_cell_length_c 2.732
_cell_angle_alpha 90.00
_cell_angle_beta 93.85
_cell_angle_gamma 90.00
_space_group_name_H-M_alt 'C 1 2/m 1'
_space_group_IT_number 12
_space_group_name_Hall '-C 2y'
loop_
_atom_site_label
_atom_site_fract_x
_atom_site_fract_y
_atom_site_fract_z
V1 0.000 0.000 0.000
V2 0.136 0.500 0.098
Mo1 0.045 0.500 0.365
Mo2 0.180 0.000 0.453
W1 0.090 0.000 0.725
W2 0.226 0.500 0.814
# * final energy: -11.231 eV/atom
# * ΔE_f: -0.095 eV/atom


# 15
# Hf8Ga2Sn3 (GGA-PBE, relaxed)
data_Hf8Ga2Sn3
_chemical_formula_sum 'Hf16 Ga4 Sn6'
_cell_length_a 9.097
_cell_length_b 14.660
_cell_length_c 4.452
_cell_angle_alpha 90.00
_cell_angle_beta 90.00
_cell_angle_gamma 90.00
_space_group_name_H-M_alt 'C m m m'
_space_group_IT_number 65
_space_group_name_Hall '-C 2 2'
loop_
_atom_site_label
_atom_site_fract_x
_atom_site_fract_y
_atom_site_fract_z
Hf1 0.000 0.126 0.000
Hf2 0.000 0.353 0.000
Hf3 0.243 0.362 0.500
Ga1 0.000 0.238 0.500
Sn1 0.000 0.500 0.500
Sn2 0.244 0.000 0.000
# * final energy: -7.520 eV/atom
# * ΔE_f: -0.006 eV/atom


# 16
# GdPuGaPb (GGA-PBE, relaxed)
data_GdPuGaPb
_chemical_formula_sum 'Gd4 Pu4 Ga4 Pb4'
_cell_length_a 7.505
_cell_length_b 7.505
_cell_length_c 7.505
_cell_angle_alpha 90.00
_cell_angle_beta 90.00
_cell_angle_gamma 90.00
_space_group_name_H-M_alt 'F -4 3 m'
_space_group_IT_number 216
_space_group_name_Hall 'F -4 2 3'
loop_
_atom_site_label
_atom_site_fract_x
_atom_site_fract_y
_atom_site_fract_z
Gd1 0.000 0.000 0.000
Pu1 0.000 0.000 0.500
Ga1 0.250 0.250 0.250
Pb1 0.250 0.250 0.750
# * final energy: -9.091 eV/atom
# * ΔE_f: -0.304 eV/atom


# 17
# HfZrOs2 (GGA-PBE, relaxed)
data_HfZrOs2
_chemical_formula_sum 'Hf4 Zr4 Os8'
_cell_length_a 7.257
_cell_length_b 7.257
_cell_length_c 5.697
_cell_angle_alpha 90.00
_cell_angle_beta 90.00
_cell_angle_gamma 90.00
_space_group_name_H-M_alt 'I -4 2 d'
_space_group_IT_number 122
_space_group_name_Hall 'I -4 2bw'
loop_
_atom_site_label
_atom_site_fract_x
_atom_site_fract_y
_atom_site_fract_z
Hf1 0.000 0.000 0.000
Zr1 0.000 0.000 0.500
Os1 0.249 0.750 0.125
# * final energy: -9.986 eV/atom
# * ΔE_f: 0.254 eV/atom


# 18
# RbHf3Cl (GGA-PBE, relaxed)
data_RbHf3Cl
_chemical_formula_sum 'Rb1 Hf3 Cl1'
_cell_length_a 5.233
_cell_length_b 5.233
_cell_length_c 5.233
_cell_angle_alpha 90.00
_cell_angle_beta 90.00
_cell_angle_gamma 90.00
_space_group_name_H-M_alt 'P m -3 m'
_space_group_IT_number 221
_space_group_name_Hall '-P 4 2 3'
loop_
_atom_site_label
_atom_site_fract_x
_atom_site_fract_y
_atom_site_fract_z
Rb1 0.000 0.000 0.000
Hf1 0.000 0.000 0.500
Cl1 0.500 0.500 0.500
# * final energy: -4.123 eV/atom
# * E_form (uncorrected): 1164 kJ/mol of formula units


# 19
# Pa3Se5I3 (GGA-PBE, relaxed)
data_Pa3Se5I3
_chemical_formula_sum 'Pa3 Se5 I3'
_cell_length_a 8.7475
_cell_length_b 8.7475
_cell_length_c 6.1643
_cell_angle_alpha 90.00
_cell_angle_beta 90.00
_cell_angle_gamma 120.00
_space_group_name_H-M_alt 'P -6 2 m'
_space_group_IT_number 189
_space_group_name_Hall 'P -6 -2'
loop_
_atom_site_label
_atom_site_fract_x
_atom_site_fract_y
_atom_site_fract_z
Pa1 0.0000 0.3632 0.0000
Se1 0.0000 0.7528 0.0000
Se2 0.3333 0.6667 0.0000
I1 0.0000 0.3821 0.5000
# * final energy: -5.652 eV/atom
# * E_form (uncorrected): -1121 kJ/mol of formula units


# 20
# Cd2SbAu (GGA-PBE, relaxed)
data_Cd2SbAu
_chemical_formula_sum 'Cd4 Sb2 Au2'
_cell_length_a 9.030
_cell_length_b 3.451
_cell_length_c 6.106
_cell_angle_alpha 90.00
_cell_angle_beta 101.63
_cell_angle_gamma 90.00
_space_group_name_H-M_alt 'C 1 m 1'
_space_group_IT_number 8
_space_group_name_Hall 'C -2y'
loop_
_atom_site_label
_atom_site_fract_x
_atom_site_fract_y
_atom_site_fract_z
Cd1 0.000 0.000 0.000
Cd2 0.247 0.000 0.757
Sb1 0.485 0.000 0.461
Au1 0.242 0.500 0.206
# * final energy: -2.312 eV/atom
# * E_form (uncorrected): -2 kJ/mol of formula units


# 21
# La4Nd3Er2 (GGA-PBE, relaxed)
data_La4Nd3Er2
_chemical_formula_sum 'La8 Nd6 Er4'
_cell_length_a 13.022
_cell_length_b 3.731
_cell_length_c 14.720
_cell_angle_alpha 90.00
_cell_angle_beta 115.50
_cell_angle_gamma 90.00
_space_group_name_H-M_alt 'C 1 2/m 1'
_space_group_IT_number 12
_space_group_name_Hall '-C 2y'
loop_
_atom_site_label
_atom_site_fract_x
_atom_site_fract_y
_atom_site_fract_z
La1 0.217 0.000 0.104
La2 0.220 0.500 0.373
Nd1 0.000 0.500 0.500
Nd2 0.001 0.500 0.883
Er1 0.054 0.000 0.710
# * final energy: -4.706 eV/atom
# * ΔE_f: 0.087 eV/atom


# 22
# Th4Sb5N (GGA-PBE, relaxed)
data_Th4Sb5N
_chemical_formula_sum 'Th8 Sb10 N2'
_cell_length_a 17.799
_cell_length_b 4.208
_cell_length_c 8.017
_cell_angle_alpha 90.00
_cell_angle_beta 104.54
_cell_angle_gamma 90.00
_space_group_name_H-M_alt 'C 1 2/m 1'
_space_group_IT_number 12
_space_group_name_Hall '-C 2y'
loop_
_atom_site_label
_atom_site_fract_x
_atom_site_fract_y
_atom_site_fract_z
Th1 0.038 0.000 0.219
Th2 0.133 0.500 0.933
Sb1 0.000 0.500 0.500
Sb2 0.136 0.000 0.622
Sb3 0.213 0.000 0.221
N1 0.000 0.500 0.000
# * final energy: -6.486 eV/atom
# * E_form (uncorrected): -602 kJ/mol of formula units


# 23
# AsWCl (GGA-PBE, relaxed)
data_AsWCl
_chemical_formula_sum 'As4 W4 Cl4'
_cell_length_a 6.210
_cell_length_b 6.210
_cell_length_c 6.210
_cell_angle_alpha 90.00
_cell_angle_beta 90.00
_cell_angle_gamma 90.00
_space_group_name_H-M_alt 'F -4 3 m'
_space_group_IT_number 216
_space_group_name_Hall 'F -4 2 3'
loop_
_atom_site_label
_atom_site_fract_x
_atom_site_fract_y
_atom_site_fract_z
As1 0.000 0.000 0.000
W1 0.250 0.250 0.750
Cl1 0.250 0.250 0.250
# * final energy: -5.240 eV/atom
# * E_form (uncorrected): 360 kJ/mol of formula units


# 24
# Cs2HoBS4 (GGA-PBE, relaxed)
data_Cs2HoBS4
_chemical_formula_sum 'Cs16 Ho8 B8 S32'
_cell_length_a 5.838
_cell_length_b 14.615
_cell_length_c 25.641
_cell_angle_alpha 90.00
_cell_angle_beta 90.00
_cell_angle_gamma 90.00
_space_group_name_H-M_alt 'F d d d'
_space_group_IT_number 70
loop_
_space_group_symop_operation_xyz
'x,y,z'
'-x,-y,-z'
'-x+1/4,-y+1/4,z'
'x+1/4,y+1/4,-z'
'x,-y+1/4,-z+1/4'
'-x,y+1/4,z+1/4'
'-x+1/4,y,-z+1/4'
'x+1/4,-y,z+1/4'
'x,y+1/2,z+1/2'
'-x,-y+1/2,-z+1/2'
'-x+1/4,-y+3/4,z+1/2'
'x+1/4,y+3/4,-z+1/2'
'x,-y+3/4,-z+3/4'
'-x,y+3/4,z+3/4'
'-x+1/4,y+1/2,-z+3/4'
'x+1/4,-y+1/2,z+3/4'
'x+1/2,y,z+1/2'
'-x+1/2,-y,-z+1/2'
'-x+3/4,-y+1/4,z+1/2'
'x+3/4,y+1/4,-z+1/2'
'x+1/2,-y+1/4,-z+3/4'
'-x+1/2,y+1/4,z+3/4'
'-x+3/4,y,-z+3/4'
'x+3/4,-y,z+3/4'
'x+1/2,y+1/2,z'
'-x+1/2,-y+1/2,-z'
'-x+3/4,-y+3/4,z'
'x+3/4,y+3/4,-z'
'x+1/2,-y+3/4,-z+1/4'
'-x+1/2,y+3/4,z+1/4'
'-x+3/4,y+1/2,-z+1/4'
'x+3/4,-y+1/2,z+1/4'
loop_
_atom_site_label
_atom_site_fract_x
_atom_site_fract_y
_atom_site_fract_z
Cs1 0.125 0.125 0.302
Ho1 0.125 0.125 0.125
B1 0.125 0.125 0.625
S1 0.054 0.292 0.828
# * final energy: -4.851 eV/atom
# * E_form (uncorrected): -901 kJ/mol of formula units